# TiTe2MoBr, optimized geometry, DFT PBE-GGA
data_TiTe2MoBr
_chemical_formula_sum 'Ti1 Te2 Mo1 Br1'
_symmetry_space_group_name_H-M 'P 4/m m m'
_symmetry_Int_Tables_number 123
_symmetry_space_group_name_Hall '-P 4 2'
_cell_length_a 5.4690
_cell_length_b 5.4690
_cell_length_c 4.8286
_cell_angle_alpha 90.00
_cell_angle_beta 90.00
_cell_angle_gamma 90.00
loop_
_atom_site_label
_atom_site_type_symbol
_atom_site_fract_x
_atom_site_fract_y
_atom_site_fract_z
Ti1 Ti 0.0000 0.0000 0.0000
Te1 Te 0.0000 0.5000 0.0000
Mo1 Mo 0.5000 0.5000 0.5000
Br1 Br 0.0000 0.0000 0.5000
# energy relative to the elements, uncorrected	0.42	eV per atom
# total energy	-24.578	eV/cell
# magnetic moment	4.99	μB per cell
# volume	144.4	Å³ per cell